This record from the Alexandria database describes crystalline Ho3B7Os at its relaxed geometry. The functional is PBE.

- formation enthalpy at 0 K (meV per atom) = -648
- E (eV/cell) = -157.7

Lattice parameters (Å, degrees): 8.027 8.027 9.298 90.00 90.00 154.73
Element x y z (fractional)
Ho (0.106, 0.894, 0.560)
Ho (0.106, 0.894, 0.940)
Ho (0.245, 0.755, 0.250)
Ho (0.755, 0.245, 0.750)
Ho (0.894, 0.106, 0.060)
Ho (0.894, 0.106, 0.440)
B (0.273, 0.727, 0.534)
B (0.273, 0.727, 0.966)
B (0.368, 0.632, 0.651)
B (0.368, 0.632, 0.849)
B (0.456, 0.544, 0.250)
B (0.479, 0.521, 0.596)
B (0.479, 0.521, 0.904)
B (0.521, 0.479, 0.096)
B (0.521, 0.479, 0.404)
B (0.544, 0.456, 0.750)
B (0.632, 0.368, 0.151)
B (0.632, 0.368, 0.349)
B (0.727, 0.273, 0.034)
B (0.727, 0.273, 0.466)
Os (0.054, 0.946, 0.250)
Os (0.946, 0.054, 0.750)